[1]
Nd2Sm2Y4Tm | PBE | optimized geometry Values from VASP.

Results
SG: No. 12
Magnetization in μB per formula unit: 0.0
Energy of formation from the pure elements in eV per atom: 0.002
Calculated volume in Å³/cell: 297.71

Cell and atoms, written as Quantum ESPRESSO input:
```
&SYSTEM
  ibrav = 0, nat = 9, ntyp = 4
/
ATOMIC_SPECIES
Y 88.91 Y.upf
Sm 150.36 Sm.upf
Tm 168.93 Tm.upf
Nd 144.24 Nd.upf
CELL_PARAMETERS angstrom
3.631 0.000 0.000
-1.815 9.409 -0.496
0.000 -3.726 8.911
ATOMIC_POSITIONS angstrom
Y 1.815 3.452 5.619
Y 0.000 2.232 2.797
Y 0.000 6.561 5.474
Y 1.815 -0.878 2.942
Sm 0.000 0.305 5.772
Sm 1.815 5.379 2.644
Tm 0.000 0.000 0.000
Nd 1.815 -0.621 8.742
Nd 0.000 6.305 -0.326
```

[2]
Pm3Dy2S4 | PBE | optimized geometry Values from VASP.

Results
ΔE_f (raw) in eV/atom: -1.762
SG: No. 164
Magnetization in μB per formula unit: 0.9
Calculated volume in Å³/cell: 217.33

Cell and atoms, written as Quantum ESPRESSO input:
```
&SYSTEM
  ibrav = 0, nat = 9, ntyp = 3
/
ATOMIC_SPECIES
Pm 145.00 Pm.upf
S 32.06 S.upf
Dy 162.50 Dy.upf
CELL_PARAMETERS angstrom
-0.323 -2.750 2.779
1.689 -0.870 -3.432
14.503 4.384 6.030
ATOMIC_POSITIONS angstrom
Pm 6.248 -0.339 3.160
Pm 9.621 1.104 2.218
Pm 0.000 0.000 0.000
S 13.973 2.420 4.026
S 4.022 -1.435 4.584
S 11.846 2.200 0.794
S 1.896 -1.655 1.351
Dy 11.897 1.368 5.513
Dy 3.971 -0.603 -0.136
```